Record 1
! CaPtBr3, relaxed, DFT PBE; values from VASP
! DOS(E_F) = 0.65 states/eV per cell
! Excess energy over the best structure of this formula in the dataset = 0.000 kcal/mol of atoms
&SYSTEM
  ibrav = 0, nat = 5, ntyp = 3
/
ATOMIC_SPECIES
Br 79.90 Br.upf
Ca 40.08 Ca.upf
Pt 195.08 Pt.upf
CELL_PARAMETERS angstrom
5.213 0.000 0.000
0.000 5.213 0.000
0.000 0.000 5.213
ATOMIC_POSITIONS crystal
Br 0.000 0.000 0.500
Br 0.000 0.500 0.000
Br 0.500 0.000 0.000
Ca 0.500 0.500 0.500
Pt 0.000 0.000 0.000


Record 2
A relaxed CaPtBr6 crystal, computed with PBE. Values from VASP.

Structure (Quantum ESPRESSO input):
```
&SYSTEM
  ibrav = 0, nat = 8, ntyp = 3
/
ATOMIC_SPECIES
Pt 195.08 Pt.upf
Br 79.90 Br.upf
Ca 40.08 Ca.upf
CELL_PARAMETERS angstrom
7.673 -0.810 -2.125
-4.026 5.194 -1.634
-0.075 0.792 7.057
ATOMIC_POSITIONS crystal
Pt 0.500 0.000 0.000
Br 0.569 0.846 0.709
Br 0.431 0.154 0.291
Br 0.140 0.863 0.709
Br 0.860 0.137 0.291
Br 0.267 0.545 0.000
Br 0.733 0.455 0.000
Ca 0.000 0.000 0.000
```


Record 3
! CaPtBr, relaxed, DFT PBE; values from VASP
! DOS(E_F) = 0.84 states/eV per cell
! Excess energy over the best structure of this formula in the dataset = 1.877 kcal/mol of atoms
&SYSTEM
  ibrav = 0, nat = 3, ntyp = 3
/
ATOMIC_SPECIES
Pt 195.08 Pt.upf
Ca 40.08 Ca.upf
Br 79.90 Br.upf
CELL_PARAMETERS angstrom
-1.889 -3.051 -0.213
2.620 0.325 2.440
-4.479 2.459 4.481
ATOMIC_POSITIONS crystal
Pt 0.333 0.667 0.629
Ca 0.667 0.333 0.329
Br 0.000 0.000 0.042


Record 4
! CaPtBr, relaxed, DFT PBE; values from VASP
! DOS(E_F) = 1.92 states/eV per cell
! Excess energy over the best structure of this formula in the dataset = 1.227 kcal/mol of atoms
&SYSTEM
  ibrav = 0, nat = 3, ntyp = 3
/
ATOMIC_SPECIES
Br 79.90 Br.upf
Ca 40.08 Ca.upf
Pt 195.08 Pt.upf
CELL_PARAMETERS angstrom
4.716 0.000 0.000
-2.358 4.084 0.000
0.000 0.000 3.536
ATOMIC_POSITIONS crystal
Br 0.000 0.000 0.833
Ca 0.667 0.333 0.334
Pt 0.333 0.667 0.834


Record 5
! Ca3PtBr, relaxed, DFT PBE; values from VASP
! DOS(E_F) = 2.09 states/eV per cell
! Excess energy over the best structure of this formula in the dataset = 0.000 kcal/mol of atoms
&SYSTEM
  ibrav = 0, nat = 5, ntyp = 3
/
ATOMIC_SPECIES
Pt 195.08 Pt.upf
Ca 40.08 Ca.upf
Br 79.90 Br.upf
CELL_PARAMETERS angstrom
5.603 0.000 0.000
0.000 5.603 0.000
0.000 0.000 5.603
ATOMIC_POSITIONS crystal
Pt 0.000 0.000 0.000
Ca 0.500 0.000 0.000
Ca 0.000 0.500 0.000
Ca 0.000 0.000 0.500
Br 0.500 0.500 0.500


Record 6
! CaPtBr, relaxed, DFT PBE; values from VASP
! DOS(E_F) = 2.60 states/eV per cell
! Excess energy over the best structure of this formula in the dataset = 4.431 kcal/mol of atoms
&SYSTEM
  ibrav = 0, nat = 3, ntyp = 3
/
ATOMIC_SPECIES
Ca 40.08 Ca.upf
Br 79.90 Br.upf
Pt 195.08 Pt.upf
CELL_PARAMETERS angstrom
-1.500 -0.985 4.495
-0.730 -4.589 1.357
3.014 -2.100 3.151
ATOMIC_POSITIONS crystal
Ca 0.750 0.750 0.750
Br 0.500 0.500 0.500
Pt 0.000 0.000 0.000


no.,uncorrected formation energy (eV/atom)
1,-0.65
2,-0.83
3,-0.59
4,-0.62
5,-0.78
6,-0.48